Record 1
Below is a relaxed structure of La2CrCl, with properties calculated at the PBE-GGA level.

Crystal system: monoclinic
E_tot (eV/atom): -5.666
D(E_F) (states/eV/f.u.): 4.05
SG: No. 12

```
La2CrCl
1.0
-1.0402 -1.9409 -7.6547
4.7066 0.8836 2.8343
1.2732 -3.1688 -0.2619
La Cl Cr
2 1 1
Direct
0.0000 0.0000 0.0000
0.5000 0.0000 0.5000
0.0000 0.5000 0.5000
0.5000 0.5000 0.0000
```

Record 2
Below is a relaxed structure of Rb3CrRe, with properties calculated at the PBE-GGA level.

Crystal system: cubic
Energy of formation (kcal/mol of atoms): 43.665
D(E_F) (states/eV/f.u.): 23.31
SG: No. 221

```
Rb3CrRe
1.0
-4.6427 -4.1071 -2.4285
-1.9983 -1.4032 6.1934
-4.3327 5.0481 -0.2543
Rb Re Cr
3 1 1
Direct
0.0000 0.5000 0.0000
0.0000 0.0000 0.5000
0.5000 0.0000 0.0000
0.0000 0.0000 0.0000
0.5000 0.5000 0.5000
```